[1]
# NiPdPb2 | the Alexandria database | PBE | optimized geometry
# Formation energy from the elements ... 2.24 kcal/mol of atoms
# Total magnetic moment ... 0.00 Bohr magnetons per cell
# Crystal system ... cubic
data_NiPdPb2
_chemical_formula_sum 'Ni4 Pd4 Pb8'
_space_group_name_H-M_alt 'F m -3 m'
_space_group_IT_number 225
_space_group_name_Hall '-F 4 2 3'
_cell_length_a 6.852
_cell_length_b 6.852
_cell_length_c 6.852
_cell_angle_alpha 90.00
_cell_angle_beta 90.00
_cell_angle_gamma 90.00
loop_
_atom_site_label
_atom_site_fract_x
_atom_site_fract_y
_atom_site_fract_z
Ni1 0.000 0.000 0.000
Pd1 0.000 0.000 0.500
Pb1 0.250 0.250 0.250

[2]
# PrMgAu2 | the Alexandria database | PBE | optimized geometry
# Formation energy from the elements ... -13.50 kcal/mol of atoms
# Total magnetic moment ... 0.00 Bohr magnetons per cell
# Crystal system ... tetragonal
data_PrMgAu2
_chemical_formula_sum 'Pr1 Mg1 Au2'
_space_group_name_H-M_alt 'P 4/m m m'
_space_group_IT_number 123
_space_group_name_Hall '-P 4 2'
_cell_length_a 4.988
_cell_length_b 4.988
_cell_length_c 3.690
_cell_angle_alpha 90.00
_cell_angle_beta 90.00
_cell_angle_gamma 90.00
loop_
_atom_site_label
_atom_site_fract_x
_atom_site_fract_y
_atom_site_fract_z
Pr1 0.000 0.000 0.000
Mg1 0.500 0.500 0.000
Au1 0.000 0.500 0.500

[3]
# PmSm2Te2 | the Alexandria database | PBE | optimized geometry
# Total magnetic moment ... 0.00 Bohr magnetons per cell
# ΔE_f (raw) ... -937 meV per atom
# Crystal system ... trigonal
data_PmSm2Te2
_chemical_formula_sum 'Pm1 Sm2 Te2'
_space_group_name_H-M_alt 'P -3 m 1'
_space_group_IT_number 164
_space_group_name_Hall '-P 3 2"'
_cell_length_a 4.7979
_cell_length_b 4.7979
_cell_length_c 8.0026
_cell_angle_alpha 90.00
_cell_angle_beta 90.00
_cell_angle_gamma 120.00
loop_
_atom_site_label
_atom_site_fract_x
_atom_site_fract_y
_atom_site_fract_z
Pm1 0.0000 0.0000 0.0000
Sm1 0.3333 0.6667 0.6402
Te1 0.3333 0.6667 0.2034

[4]
# LiBeSb2 | the Alexandria database | PBE | optimized geometry
# Total magnetic moment ... 0.00 Bohr magnetons per cell
# ΔE_f (raw) ... 27 meV per atom
# Crystal system ... trigonal
data_LiBeSb2
_chemical_formula_sum 'Li3 Be3 Sb6'
_space_group_name_H-M_alt 'R -3 m'
_space_group_IT_number 166
_space_group_name_Hall '-R 3 2"'
_cell_length_a 3.3914
_cell_length_b 3.3914
_cell_length_c 24.2965
_cell_angle_alpha 90.00
_cell_angle_beta 90.00
_cell_angle_gamma 120.00
loop_
_atom_site_label
_atom_site_fract_x
_atom_site_fract_y
_atom_site_fract_z
Li1 0.0000 0.0000 0.0000
Be1 0.0000 0.0000 0.5000
Sb1 0.0000 0.0000 0.2414